Entry 1:
A geometry-optimized LaPW3 structure, computed with PBE.

a = 4.860 Å, b = 4.860 Å, c = 4.860 Å
α = 90.00°, β = 90.00°, γ = 90.00°
Space group Pm-3m (No. 221)
One atom of each set of equivalent atoms:
La 0.000 0.000 0.000 (multiplicity 1)
P 0.500 0.500 0.500 (multiplicity 1)
W 0.000 0.000 0.500 (multiplicity 3)

Values from the calculation:
energy relative to the lowest polymorph listed for this composition	2576.4	meV per atom
formation energy from the elements	1566	kJ/mol of formula units
crystal system	cubic
total moment	0.00	μB per cell
DFT total energy	-6.5937	eV per atom


Entry 2:
A geometry-optimized La3PW structure, computed with PBE.

a = 5.449 Å, b = 5.449 Å, c = 5.449 Å
α = 90.00°, β = 90.00°, γ = 90.00°
Space group Pm-3m (No. 221)
One atom of each set of equivalent atoms:
La 0.000 0.000 0.500 (multiplicity 3)
P 0.500 0.500 0.500 (multiplicity 1)
W 0.000 0.000 0.000 (multiplicity 1)

Values from the calculation:
energy relative to the lowest polymorph listed for this composition	0.0	meV per atom
formation energy from the elements	132	kJ/mol of formula units
crystal system	cubic
total moment	0.00	μB per cell
DFT total energy	-6.3558	eV per atom


Q: Which of these has the lowest energy relative to the lowest polymorph listed for this composition?
A: La3PW